Computed, not measured: Ac2Sm7Y4 after structural relaxation at the PBE level of DFT.

Calculated values
- Raw total energy: -4.964 eV per atom
- Theoretical density: 6.744 g/cm³

Cell lengths 6.305, 6.305, 13.318 Å; angles 90.00, 90.00, 120.00 degrees
Fractional coordinates of all 13 atoms:
Sm (0.630, 0.000, 0.226)
Sm (0.370, 0.370, 0.226)
Sm (0.000, 0.630, 0.226)
Sm (0.630, 0.630, 0.774)
Sm (0.370, 0.000, 0.774)
Sm (0.000, 0.370, 0.774)
Sm (0.000, 0.000, 0.000)
Ac (0.333, 0.667, 0.000)
Ac (0.667, 0.333, 0.000)
Y (0.000, 0.000, 0.394)
Y (0.667, 0.333, 0.500)
Y (0.333, 0.667, 0.500)
Y (0.000, 0.000, 0.606)


Computed, not measured: Ac2Sm2Y15 after structural relaxation at the PBE level of DFT.

Calculated values
- Raw total energy: -5.771 eV per atom
- Theoretical density: 5.115 g/cm³

Cell lengths 8.890, 8.890, 8.890 Å; angles 80.77, 80.77, 80.77 degrees
Fractional coordinates of all 19 atoms:
Y (0.638, 0.638, 0.150)
Y (0.701, 0.000, 0.299)
Y (0.701, 0.299, 0.000)
Y (0.850, 0.362, 0.362)
Y (0.000, 0.500, 0.000)
Y (0.150, 0.638, 0.638)
Y (0.362, 0.850, 0.362)
Y (0.000, 0.000, 0.500)
Y (0.299, 0.000, 0.701)
Y (0.362, 0.362, 0.850)
Y (0.000, 0.299, 0.701)
Y (0.500, 0.000, 0.000)
Y (0.299, 0.701, 0.000)
Y (0.638, 0.150, 0.638)
Y (0.000, 0.701, 0.299)
Ac (0.334, 0.334, 0.334)
Ac (0.666, 0.666, 0.666)
Sm (0.093, 0.093, 0.093)
Sm (0.907, 0.907, 0.907)


Computed, not measured: AcSm5Y after structural relaxation at the PBE level of DFT.

Calculated values
- Raw total energy: -4.790 eV per atom
- Theoretical density: 7.106 g/cm³

Cell lengths 6.732, 6.732, 12.222 Å; angles 106.23, 106.23, 96.73 degrees
Fractional coordinates of all 14 atoms:
Y (0.512, 0.488, 0.250)
Y (0.488, 0.512, 0.750)
Sm (0.468, 0.760, 0.534)
Sm (0.384, 0.032, 0.831)
Sm (0.616, 0.968, 0.169)
Sm (0.760, 0.468, 0.034)
Sm (0.032, 0.384, 0.331)
Sm (0.829, 0.171, 0.750)
Sm (0.532, 0.240, 0.466)
Sm (0.171, 0.829, 0.250)
Sm (0.968, 0.616, 0.669)
Sm (0.240, 0.532, 0.966)
Ac (0.000, 0.000, 0.500)
Ac (0.000, 0.000, 0.000)


Computed, not measured: Ac2SmY6 after structural relaxation at the PBE level of DFT.

Calculated values
- Raw total energy: -5.625 eV per atom
- Theoretical density: 5.876 g/cm³

Cell lengths 3.653, 8.848, 10.160 Å; angles 101.73, 90.00, 90.00 degrees
Fractional coordinates of all 9 atoms:
Ac (0.500, 0.694, 0.463)
Ac (0.500, 0.306, 0.537)
Y (0.000, 0.623, 0.783)
Y (0.000, 0.377, 0.217)
Y (0.500, 0.681, 0.099)
Y (0.000, 0.982, 0.325)
Y (0.500, 0.319, 0.901)
Y (0.000, 0.018, 0.675)
Sm (0.000, 0.000, 0.000)


Computed, not measured: Ac2SmY after structural relaxation at the PBE level of DFT.

Calculated values
- Theoretical density: 7.463 g/cm³
- E above lowest polymorph: 0.0190 eV per atom

Cell lengths 3.826, 3.826, 12.370 Å; angles 81.10, 81.10, 60.00 degrees
Fractional coordinates of all 4 atoms:
Ac (0.250, 0.250, 0.249)
Ac (0.083, 0.083, 0.751)
Y (0.668, 0.668, 0.997)
Sm (0.499, 0.499, 0.503)


Computed, not measured: AcSm3Y6 after structural relaxation at the PBE level of DFT.

Calculated values
- Theoretical density: 5.798 g/cm³
- E above lowest polymorph: 0.1694 eV per atom

Cell lengths 10.011, 10.011, 7.028 Å; angles 44.58, 44.58, 60.00 degrees
Fractional coordinates of all 10 atoms:
Y (0.730, 0.070, 0.800)
Y (0.559, 0.240, 0.300)
Y (0.240, 0.900, 0.300)
Y (0.070, 0.400, 0.800)
Y (0.900, 0.559, 0.300)
Y (0.400, 0.730, 0.800)
Ac (0.900, 0.900, 0.300)
Sm (0.400, 0.400, 0.800)
Sm (0.162, 0.162, 0.514)
Sm (0.638, 0.638, 0.085)


Computed, not measured: Ac6Sm3Y after structural relaxation at the PBE level of DFT.

Calculated values
- Raw total energy: -4.451 eV per atom
- Theoretical density: 7.817 g/cm³

Cell lengths 3.820, 12.769, 17.068 Å; angles 103.92, 90.00, 90.00 degrees
Fractional coordinates of all 20 atoms:
Ac (0.750, 0.611, 0.459)
Ac (0.250, 0.389, 0.541)
Ac (0.250, 0.608, 0.856)
Ac (0.750, 0.131, 0.978)
Ac (0.750, 0.341, 0.738)
Ac (0.750, 0.864, 0.817)
Ac (0.250, 0.136, 0.183)
Ac (0.250, 0.846, 0.611)
Ac (0.750, 0.392, 0.144)
Ac (0.750, 0.154, 0.389)
Ac (0.250, 0.869, 0.022)
Ac (0.250, 0.659, 0.262)
Y (0.250, 0.377, 0.945)
Y (0.750, 0.623, 0.055)
Sm (0.250, 0.111, 0.788)
Sm (0.250, 0.116, 0.574)
Sm (0.750, 0.889, 0.212)
Sm (0.750, 0.884, 0.426)
Sm (0.750, 0.612, 0.671)
Sm (0.250, 0.388, 0.329)


Computed, not measured: Ac2SmY4 after structural relaxation at the PBE level of DFT.

Calculated values
- Raw total energy: -5.453 eV per atom
- Theoretical density: 6.249 g/cm³

Cell lengths 3.665, 3.674, 19.032 Å; angles 90.00, 95.53, 90.00 degrees
Fractional coordinates of all 7 atoms:
Sm (0.500, 0.000, 0.000)
Y (0.934, 0.500, 0.869)
Y (0.066, 0.500, 0.131)
Y (0.369, 0.000, 0.737)
Y (0.631, 0.000, 0.263)
Ac (0.796, 0.500, 0.591)
Ac (0.204, 0.500, 0.409)